Here is crystalline NdTmAl at its relaxed geometry from Alexandria via LeMat-Bulk. Energies are from PBE-GGA.

The calculation puts the spin magnetization at 0.00 μB per cell. Its calculated formation energy is -14 kJ per mole of atoms. Its crystal system is trigonal.

The structure belongs to space group P3m1 (No. 156); the cell edges are 5.0982, 5.0982 and 3.6487 Å and the angles 90.00°, 90.00° and 120.00°. Symmetry generates all atoms from Nd at (0.0000, 0.0000, 0.0000), Tm at (0.6667, 0.3333, 0.5546) and Al at (0.3333, 0.6667, 0.3555).



Here is crystalline Nd4TmAl2 at its relaxed geometry from Alexandria via LeMat-Bulk. Energies are from PBE-GGA.

The calculation puts the spin magnetization at 0.00 μB per cell. Its calculated formation energy is -15 kJ per mole of atoms. Its crystal system is trigonal.

The structure belongs to space group R-3m (No. 166, hexagonal axes); the cell edges are 5.3154, 5.3154 and 25.1101 Å and the angles 90.00°, 90.00° and 120.00°. Symmetry generates all atoms from Nd at (0.0000, 0.0000, 0.1017), Nd at (0.0000, 0.0000, 0.3591), Tm at (0.0000, 0.0000, 0.5000) and Al at (0.0000, 0.0000, 0.2312).



Here is crystalline NdTm4Al2 at its relaxed geometry from Alexandria via LeMat-Bulk. Energies are from PBE-GGA.

The calculation puts the spin magnetization at 0.00 μB per cell. Its calculated formation energy is -20 kJ per mole of atoms. Its crystal system is trigonal.

The structure belongs to space group R-3m (No. 166, hexagonal axes); the cell edges are 5.2724, 5.2724 and 23.2012 Å and the angles 90.00°, 90.00° and 120.00°. Symmetry generates all atoms from Nd at (0.0000, 0.0000, 0.0000), Tm at (0.0000, 0.0000, 0.1544), Tm at (0.0000, 0.0000, 0.4213) and Al at (0.0000, 0.0000, 0.2823).



Here is crystalline Nd4TmAl at its relaxed geometry from Alexandria via LeMat-Bulk. Energies are from PBE-GGA.

The calculation puts the spin magnetization at 0.00 μB per cell. Its calculated formation energy is -2 kJ per mole of atoms. Its crystal system is monoclinic.

The structure belongs to space group C2/c (No. 15); the cell edges are 8.9677, 14.1538 and 6.3673 Å and the angles 90.00°, 109.31° and 90.00°. Symmetry generates all atoms from Nd at (0.1006, 0.1841, 0.0485), Nd at (0.2174, 0.3888, 0.3739), Tm at (0.0000, 0.4078, 0.7500) and Al at (0.0000, 0.0001, 0.2500).



Here is crystalline Nd2Tm2Al at its relaxed geometry from Alexandria via LeMat-Bulk. Energies are from PBE-GGA.

The calculation puts the spin magnetization at 0.00 μB per cell. Its calculated formation energy is -15 kJ per mole of atoms. Its crystal system is tetragonal.

The structure belongs to space group I4/mmm (No. 139); the cell edges are 3.5270, 3.5270 and 23.5339 Å and the angles 90.00°, 90.00° and 90.00°. Symmetry generates all atoms from Nd at (0.0000, 0.0000, 0.1903), Tm at (0.0000, 0.0000, 0.4202) and Al at (0.0000, 0.0000, 0.0000).



Here is crystalline NdTm5Al4 at its relaxed geometry from Alexandria via LeMat-Bulk. Energies are from PBE-GGA.

The calculation puts the spin magnetization at 0.00 μB per cell. Its calculated formation energy is -30 kJ per mole of atoms. Its crystal system is tetragonal.

The structure belongs to space group P4/mmm (No. 123); the cell edges are 3.5479, 3.5479 and 19.4838 Å and the angles 90.00°, 90.00° and 90.00°. Symmetry generates all atoms from Nd at (0.0000, 0.0000, 0.0000), Tm at (0.5000, 0.5000, 0.1334), Tm at (0.5000, 0.5000, 0.3179), Tm at (0.5000, 0.5000, 0.5000), Al at (0.0000, 0.0000, 0.2257) and Al at (0.0000, 0.0000, 0.4087).